Li3Mn4P6O24 | PBE+U | relaxed

The uncorrected energy is -6.983 eV per atom. The space group is P-1, No. 2. The calculation puts the density of states at the Fermi level at 2.310 states/eV per cell. The energy above the lowest structure with this stoichiometry is 0.90 kcal/mol of atoms.

abc: 6.2657 8.4025 8.8071
angles: 90.95 106.95 104.82
Fractional coordinates of all 37 atoms:
Li: 0.7703 0.7292 0.3006
Li: 0.0000 0.5000 0.5000
Li: 0.2297 0.2708 0.6994
Mn: 0.3571 0.9385 0.6179
Mn: 0.8678 0.6260 0.9398
Mn: 0.1322 0.3740 0.0602
Mn: 0.6429 0.0615 0.3821
P: 0.2494 0.7075 0.2770
P: 0.8733 0.8520 0.6526
P: 0.3512 0.6417 0.8449
P: 0.6488 0.3583 0.1551
P: 0.1267 0.1480 0.3474
P: 0.7506 0.2925 0.7230
O: 0.0948 0.9950 0.6576
O: 0.6704 0.9417 0.5902
O: 0.0260 0.7380 0.1565
O: 0.4761 0.8239 0.2632
O: 0.3742 0.8220 0.8046
O: 0.2239 0.7269 0.4453
O: 0.8906 0.8185 0.8288
O: 0.8409 0.7060 0.5414
O: 0.2638 0.5257 0.2491
O: 0.1765 0.5963 0.9521
O: 0.5898 0.6465 0.9703
O: 0.2671 0.5142 0.7054
O: 0.7329 0.4858 0.2946
O: 0.4102 0.3535 0.0297
O: 0.8235 0.4037 0.0479
O: 0.7362 0.4743 0.7509
O: 0.1591 0.2940 0.4586
O: 0.1094 0.1815 0.1712
O: 0.7761 0.2731 0.5547
O: 0.6258 0.1780 0.1954
O: 0.5239 0.1761 0.7368
O: 0.9740 0.2620 0.8435
O: 0.3296 0.0583 0.4098
O: 0.9052 0.0050 0.3424